Below is a relaxed PrHoErLu crystal, with properties calculated at the PBE level.

a b c (Å): 5.659 5.659 5.659
angles (deg): 60.00 60.00 60.00
Sites, in units of the cell vectors:
Pr1 0.000 0.000 0.000
Ho1 0.500 0.500 0.500
Er1 0.250 0.250 0.250
Lu1 0.750 0.750 0.750

Output
density	8.4	g/cm3
energy of formation from the pure elements	0.109	eV per atom
density of states at the Fermi level	5.77	states/eV/cell
symmetry	F-43m
electronic total energy	-4.5016	eV/atom